# 1
This record from the Alexandria database describes a PBEsol-optimized structure of Ta2Mn2O7. The functional is SCAN.

abc: 10.223 10.223 10.223
angles: 90.00 90.00 90.00
Space group Fd-3m (No. 227, origin choice 2)
Inequivalent atoms, fractional coordinates:
Ta: 0.000 0.000 0.000
Mn: 0.000 0.000 0.500
O: 0.074 0.375 0.375
O: 0.125 0.125 0.625

Calculated values
Uncorrected formation energy in kcal/mol of atoms: -60.41

---

# 2
This record from the Alexandria database describes a PBEsol-optimized structure of Ta3GaB. The functional is SCAN.

abc: 4.604 4.604 4.604
angles: 90.00 90.00 90.00
Space group Pm-3m (No. 221)
Inequivalent atoms, fractional coordinates:
Ta: 0.000 0.000 0.500
Ga: 0.000 0.000 0.000
B: 0.500 0.500 0.500

Calculated values
ΔH_f (0 K) in meV per atom: 2102.5

---

# 3
This record from the Alexandria database describes a PBEsol-optimized structure of TaCrCl2. The functional is SCAN.

abc: 2.946 2.946 8.125
angles: 90.00 90.00 90.00
Space group P4mm (No. 99)
Inequivalent atoms, fractional coordinates:
Ta: 0.000 0.000 0.000
Cr: 0.500 0.500 0.765
Cl: 0.000 0.000 0.579
Cl: 0.500 0.500 0.202

Calculated values
Uncorrected formation energy in kcal/mol of atoms: -8.84

---

# 4
This record from the Alexandria database describes a PBEsol-optimized structure of Al2CdCu. The functional is SCAN.

abc: 4.000 4.000 8.016
angles: 90.00 90.00 90.00
Space group I-4m2 (No. 119)
Inequivalent atoms, fractional coordinates:
Al: 0.000 0.000 0.000
Al: 0.000 0.500 0.250
Cd: 0.000 0.000 0.500
Cu: 0.000 0.500 0.750

Calculated values
ΔH_f (0 K) in meV per atom: 67.5

---

# 5
This record from the Alexandria database describes a PBEsol-optimized structure of CsRbNa2. The functional is SCAN.

abc: 9.991 9.991 9.991
angles: 90.00 90.00 90.00
Space group Fm-3m (No. 225)
Inequivalent atoms, fractional coordinates:
Cs: 0.000 0.000 0.000
Rb: 0.000 0.000 0.500
Na: 0.250 0.250 0.250

Calculated values
ΔH_f (0 K) in meV per atom: 34.7

---

# 6
This record from the Alexandria database describes a PBEsol-optimized structure of TaTlPb2. The functional is SCAN.

abc: 3.2036 3.2036 33.9630
angles: 90.00 90.00 120.00
Space group R-3m (No. 166, hexagonal axes)
Inequivalent atoms, fractional coordinates:
Ta: 0.0000 0.0000 0.0000
Tl: 0.0000 0.0000 0.5000
Pb: 0.0000 0.0000 0.2601

Calculated values
ΔH_f (0 K) in meV per atom: 331.5

---

# 7
This record from the Alexandria database describes a PBEsol-optimized structure of PtAu3. The functional is SCAN.

abc: 2.8100 2.8100 9.5994
angles: 90.00 90.00 120.00
Space group P-6m2 (No. 187)
Inequivalent atoms, fractional coordinates:
Pt: 0.0000 0.0000 0.0000
Au: 0.0000 0.0000 0.5000
Au: 0.3333 0.6667 0.2461

Calculated values
ΔH_f (0 K) in meV per atom: 43.8

---

# 8
This record from the Alexandria database describes a PBEsol-optimized structure of ReRu2W. The functional is SCAN.

abc: 3.856 3.856 7.655
angles: 90.00 90.00 90.00
Space group I4/mmm (No. 139)
Inequivalent atoms, fractional coordinates:
Re: 0.000 0.000 0.000
Ru: 0.000 0.500 0.250
W: 0.000 0.000 0.500

Calculated values
ΔH_f (0 K) in meV per atom: 19.3

---

# 9
This record from the Alexandria database describes a PBEsol-optimized structure of TiInPd2. The functional is SCAN.

abc: 3.227 3.227 6.259
angles: 90.00 90.00 90.00
Space group P4/mmm (No. 123)
Inequivalent atoms, fractional coordinates:
Ti: 0.000 0.000 0.000
In: 0.000 0.000 0.500
Pd: 0.500 0.500 0.221

Calculated values
ΔH_f (0 K) in meV per atom: -623.6

---

# 10
This record from the Alexandria database describes a PBEsol-optimized structure of TcRuPt. The functional is SCAN.

abc: 5.834 5.834 5.834
angles: 90.00 90.00 90.00
Space group F-43m (No. 216)
Inequivalent atoms, fractional coordinates:
Tc: 0.000 0.000 0.000
Ru: 0.250 0.250 0.250
Pt: 0.250 0.250 0.750

Calculated values
ΔH_f (0 K) in meV per atom: 402.8

---

# 11
This record from the Alexandria database describes a PBEsol-optimized structure of Pd7Se2. The functional is SCAN.

abc: 5.526 5.338 9.345
angles: 90.00 93.70 90.00
Space group P2_1/c (No. 14)
Inequivalent atoms, fractional coordinates:
Pd: 0.000 0.000 0.000
Pd: 0.074 0.158 0.293
Pd: 0.294 0.083 0.574
Pd: 0.467 0.601 0.648
Se: 0.275 0.729 0.878

Calculated values
Uncorrected formation energy in kcal/mol of atoms: -4.11

---

# 12
This record from the Alexandria database describes a PBEsol-optimized structure of Mg2ScTl. The functional is SCAN.

abc: 7.064 7.064 7.064
angles: 90.00 90.00 90.00
Space group Fm-3m (No. 225)
Inequivalent atoms, fractional coordinates:
Mg: 0.250 0.250 0.250
Sc: 0.000 0.000 0.000
Tl: 0.000 0.000 0.500

Calculated values
ΔH_f (0 K) in meV per atom: -59.2

---

no.,V (Å³ per atom)
1,12.140
2,19.522
3,17.629
4,16.031
5,62.325
6,25.156
7,16.410
8,14.231
9,16.292
10,16.549
11,15.283
12,22.034